A relaxed structure of LiSc2Ta. Source: Alexandria, functional PBE.

The structure belongs to space group R-3m (No. 166, hexagonal axes); the cell edges are 3.0962, 3.0962 and 32.2360 Å and the angles 90.00°, 90.00° and 120.00°. Symmetry generates all atoms from Li at (0.0000, 0.0000, 0.0000), Sc at (0.0000, 0.0000, 0.0919) and Ta at (0.0000, 0.0000, 0.5000).

For the formation energy from the elements, the calculation gives 210 meV/atom. For the uncorrected energy, the calculation gives -6.3974 eV per atom. The energy above the lowest structure with this stoichiometry comes out at 0.32 eV/f.u.